# 1
Material: ZrZnIrRu
Method: DFT, PBE
State: relaxed

Cell lengths 3.531, 4.204, 4.251 Å; angles 90.00, 90.00, 90.00 degrees
Space group Pmmm (No. 47)
Symmetry-distinct sites (fractional):
Zr (0.000, 0.000, 0.000) x1
Zn (0.000, 0.500, 0.500) x1
Ir (0.500, 0.000, 0.500) x1
Ru (0.500, 0.500, 0.000) x1

---

# 2
Material: MgZnCuIr
Method: DFT, PBE
State: relaxed

## Properties
The calculation puts the energy above the most stable polymorph in this dataset at 0 meV per atom.

Cell lengths 3.696, 3.871, 3.985 Å; angles 90.00, 90.00, 90.00 degrees
Space group Pmmm (No. 47)
Symmetry-distinct sites (fractional):
Mg (0.000, 0.000, 0.000) x1
Zn (0.000, 0.500, 0.500) x1
Cu (0.500, 0.500, 0.000) x1
Ir (0.500, 0.000, 0.500) x1

---

# 3
Material: Pm2Ga3Cu4Ir
Method: DFT, PBE
State: relaxed

Cell lengths 4.074, 4.074, 10.636 Å; angles 90.00, 90.00, 90.00 degrees
Space group P-4m2 (No. 115)
Symmetry-distinct sites (fractional):
Pm (0.000, 0.500, 0.244) x2
Ga (0.000, 0.000, 0.000) x1
Ga (0.000, 0.500, 0.629) x2
Cu (0.000, 0.000, 0.500) x1
Cu (0.000, 0.500, 0.858) x2
Cu (0.500, 0.500, 0.500) x1
Ir (0.500, 0.500, 0.000) x1

---

# 4
Material: ZnGaSnPd2
Method: DFT, PBE
State: relaxed

Cell lengths 4.770, 4.770, 4.532 Å; angles 90.00, 90.00, 90.00 degrees
Space group P4/mmm (No. 123)
Symmetry-distinct sites (fractional):
Zn (0.000, 0.000, 0.000) x1
Ga (0.000, 0.000, 0.500) x1
Sn (0.500, 0.500, 0.500) x1
Pd (0.000, 0.500, 0.000) x2

---

Number 1: ΔE_f -0.477 eV/atom, calculated density 11.84 g cm⁻³. Number 2: ΔE_f -0.235 eV/atom, calculated density 10.06 g cm⁻³. Number 3: ΔE_f -0.368 eV/atom, calculated density 8.89 g cm⁻³. Number 4: ΔE_f 0.185 eV/atom, calculated density 7.52 g cm⁻³.